[1]
Computed, not measured: a geometry-optimized Li2Dy3HoSe6 structure at the PBE level of DFT.

Unit cell a=6.9804 b=12.0882 c=6.9930 alpha=90.00 beta=109.44 gamma=90.00
Closest atoms and distances in Å follow each position.
Space group C2/m (No. 12)
Inequivalent atoms, fractional coordinates:
1 Li 0.0000 0.1678 0.0000  6 Se 2.80-2.82
2 Dy 0.0000 0.0000 0.5000  6 Se 2.85-2.90
3 Dy 0.0000 0.3338 0.5000  6 Se 2.86-2.90
4 Ho 0.0000 0.5000 0.0000  6 Se 2.85
5 Se 0.2424 0.0000 0.2421  2 Li 2.82, 1 Ho 2.85, 3 Dy 2.85-2.89
6 Se 0.2503 0.1691 0.7584  2 Li 2.80-2.81, 1 Ho 2.85, 3 Dy 2.86-2.90

For the density of states at the Fermi level, the calculation gives 0.220 states/eV per atom. As for the spin magnetization: 0.00 μB per formula unit. As for the formation energy without anion corrections: -1.73 eV per atom.

=====

[2]
Computed, not measured: a geometry-optimized LiDyHoSi structure at the PBE level of DFT.

Unit cell a=7.0012 b=7.0012 c=7.0012 alpha=90.00 beta=90.00 gamma=90.00
Closest atoms and distances in Å follow each position.
Space group F-43m (No. 216)
Inequivalent atoms, fractional coordinates:
1 Li 0.0000 0.0000 0.0000  4 Ho 3.03, 4 Dy 3.03
2 Dy 0.2500 0.2500 0.2500  4 Li 3.03, 4 Si 3.03
3 Ho 0.2500 0.2500 0.7500  4 Li 3.03, 4 Si 3.03
4 Si 0.0000 0.0000 0.5000  4 Dy 3.03, 4 Ho 3.03

For the density of states at the Fermi level, the calculation gives 0.560 states/eV per atom. As for the spin magnetization: 0.00 μB per formula unit. As for the formation energy without anion corrections: -0.36 eV per atom.

=====

[3]
Computed, not measured: a geometry-optimized LiSmDyHo structure at the PBE level of DFT.

Unit cell a=7.7782 b=7.7782 c=7.7782 alpha=90.00 beta=90.00 gamma=90.00
Closest atoms and distances in Å follow each position.
Space group F-43m (No. 216)
Inequivalent atoms, fractional coordinates:
1 Li 0.0000 0.0000 0.0000  4 Dy 3.37, 4 Sm 3.37
2 Sm 0.2500 0.2500 0.2500  4 Li 3.37, 4 Ho 3.37
3 Dy 0.2500 0.2500 0.7500  4 Li 3.37, 4 Ho 3.37
4 Ho 0.0000 0.0000 0.5000  4 Sm 3.37, 4 Dy 3.37

For the density of states at the Fermi level, the calculation gives 0.866 states/eV per atom. As for the spin magnetization: 0.00 μB per formula unit. The formation energy comes out at 0.171 eV per atom.

=====

[4]
Computed, not measured: a geometry-optimized Li2DyHo2Sn2 structure at the PBE level of DFT.

Unit cell a=4.7710 b=4.7710 c=26.3323 alpha=90.00 beta=90.00 gamma=120.00
Closest atoms and distances in Å follow each position.
Space group R-3m (No. 166, hexagonal axes)
Inequivalent atoms, fractional coordinates:
1 Li 0.0000 0.0000 0.0972  3 Sn 2.75
2 Dy 0.0000 0.0000 0.5000  6 Li 3.31, 6 Sn 3.32, 2 Ho 3.40
3 Ho 0.0000 0.0000 0.3709  4 Sn 3.16-3.53, 3 Li 3.17, 3 Ho 3.39, 1 Dy 3.40
4 Sn 0.0000 0.0000 0.2369  3 Li 2.75

For the density of states at the Fermi level, the calculation gives 0.604 states/eV per atom. As for the spin magnetization: 0.00 μB per formula unit. The formation energy comes out at -0.439 eV per atom.

=====

[5]
Computed, not measured: a geometry-optimized Li2Dy2HoSn2 structure at the PBE level of DFT.

Unit cell a=4.7662 b=4.7662 c=26.4427 alpha=90.00 beta=90.00 gamma=120.00
Closest atoms and distances in Å follow each position.
Space group R-3m (No. 166, hexagonal axes)
Inequivalent atoms, fractional coordinates:
1 Li 0.0000 0.0000 0.0996  3 Sn 2.75
2 Dy 0.0000 0.0000 0.3714  3 Sn 3.17, 3 Li 3.20, 1 Ho 3.40, 3 Dy 3.41
3 Ho 0.0000 0.0000 0.5000  6 Li 3.27, 6 Sn 3.31, 2 Dy 3.40
4 Sn 0.0000 0.0000 0.2360  3 Li 2.75

For the density of states at the Fermi level, the calculation gives 0.607 states/eV per atom. As for the spin magnetization: 0.00 μB per formula unit. The formation energy comes out at -0.439 eV per atom.

=====

[6]
Computed, not measured: a geometry-optimized LiDyHoTc structure at the PBE level of DFT.

Unit cell a=6.9562 b=6.9562 c=6.9562 alpha=90.00 beta=90.00 gamma=90.00
Closest atoms and distances in Å follow each position.
Space group F-43m (No. 216)
Inequivalent atoms, fractional coordinates:
1 Li 0.0000 0.0000 0.0000  4 Dy 3.01, 4 Ho 3.01
2 Dy 0.2500 0.2500 0.2500  4 Li 3.01, 4 Tc 3.01
3 Ho 0.2500 0.2500 0.7500  4 Li 3.01, 4 Tc 3.01
4 Tc 0.0000 0.0000 0.5000  4 Dy 3.01, 4 Ho 3.01

For the density of states at the Fermi level, the calculation gives 0.933 states/eV per atom. As for the spin magnetization: 0.00 μB per formula unit. The formation energy comes out at -0.041 eV per atom.

=====

[7]
Computed, not measured: a geometry-optimized LiDy3Ho3Te8 structure at the PBE level of DFT.

Unit cell a=8.6566 b=8.6566 c=21.2083 alpha=90.00 beta=90.00 gamma=120.00
Closest atoms and distances in Å follow each position.
Space group R-3m (No. 166, hexagonal axes)
Inequivalent atoms, fractional coordinates:
1 Li 0.0000 0.0000 0.0000  6 Te 3.05
2 Dy 0.0000 0.5000 0.5000  6 Te 3.07
3 Ho 0.0000 0.5000 0.0000  6 Te 3.06
4 Te 0.0000 0.0000 0.2505  3 Ho 3.06, 3 Dy 3.07
5 Te 0.9998 0.4999 0.2505  1 Li 3.05, 2 Ho 3.06, 2 Dy 3.07

For the density of states at the Fermi level, the calculation gives 0.293 states/eV per atom. As for the spin magnetization: 0.00 μB per formula unit. As for the formation energy without anion corrections: -1.32 eV per atom.

=====

[8]
Computed, not measured: a geometry-optimized LiDyHo2Te4 structure at the PBE level of DFT.

Unit cell a=7.4974 b=4.3024 c=7.5040 alpha=90.00 beta=109.16 gamma=90.00
Closest atoms and distances in Å follow each position.
Space group P2/m (No. 10)
Inequivalent atoms, fractional coordinates:
1 Li 0.0000 0.0000 0.0000  6 Te 3.00-3.01
2 Dy 0.0000 0.5000 0.5000  6 Te 3.06
3 Ho 0.5000 0.0000 0.5000  6 Te 3.10-3.12
4 Ho 0.5000 0.5000 0.0000  6 Te 3.05
5 Te 0.2433 0.5000 0.2424  2 Li 3.01, 3 Ho 3.05-3.10, 1 Dy 3.06
6 Te 0.2461 0.0000 0.7558  1 Li 3.00, 3 Ho 3.05-3.12, 2 Dy 3.06

For the density of states at the Fermi level, the calculation gives 0.388 states/eV per atom. As for the spin magnetization: 0.00 μB per formula unit. As for the formation energy without anion corrections: -1.29 eV per atom.

=====

[9]
Computed, not measured: a geometry-optimized LiDy2Ho3Te6 structure at the PBE level of DFT.

Unit cell a=18.8884 b=4.3246 c=8.6580 alpha=90.00 beta=103.29 gamma=90.00
Closest atoms and distances in Å follow each position.
Space group C2/m (No. 12)
Inequivalent atoms, fractional coordinates:
1 Li 0.0000 0.0000 0.0000  6 Te 2.98-3.01
2 Dy 0.1697 0.5000 0.3404  6 Te 3.04-3.12
3 Ho 0.0000 0.0000 0.5000  6 Te 3.03-3.11
4 Ho 0.1690 0.5000 0.8308  6 Te 3.02-3.11
5 Te 0.0001 0.5000 0.2421  2 Li 3.01, 3 Ho 3.11, 1 Dy 3.12
6 Te 0.1621 0.0000 0.0800  1 Li 2.98, 3 Ho 3.08-3.10, 2 Dy 3.10
7 Te 0.1646 0.0000 0.5848  3 Ho 3.02-3.03, 3 Dy 3.04-3.05

For the density of states at the Fermi level, the calculation gives 0.324 states/eV per atom. As for the spin magnetization: 0.00 μB per formula unit. As for the formation energy without anion corrections: -1.29 eV per atom.

=====

[10]
Computed, not measured: a geometry-optimized LiDy2HoTe4 structure at the PBE level of DFT.

Unit cell a=7.5024 b=4.3066 c=7.5097 alpha=90.00 beta=109.15 gamma=90.00
Closest atoms and distances in Å follow each position.
Space group P2/m (No. 10)
Inequivalent atoms, fractional coordinates:
1 Li 0.0000 0.0000 0.0000  6 Te 2.99-3.01
2 Dy 0.0000 0.5000 0.5000  6 Te 3.07
3 Dy 0.5000 0.0000 0.5000  6 Te 3.11-3.12
4 Ho 0.5000 0.5000 0.0000  6 Te 3.05-3.06
5 Te 0.2422 0.5000 0.2413  2 Li 3.01, 1 Ho 3.05, 3 Dy 3.07-3.11
6 Te 0.2456 0.0000 0.7564  1 Li 2.99, 2 Ho 3.06, 3 Dy 3.07-3.12

For the density of states at the Fermi level, the calculation gives 0.394 states/eV per atom. As for the spin magnetization: 0.00 μB per formula unit. As for the formation energy without anion corrections: -1.30 eV per atom.

=====

[11]
Computed, not measured: a geometry-optimized Li3Dy2HoTe6 structure at the PBE level of DFT.

Unit cell a=7.5120 b=13.0126 c=7.4894 alpha=90.00 beta=109.54 gamma=90.00
Closest atoms and distances in Å follow each position.
Space group C2/m (No. 12)
Inequivalent atoms, fractional coordinates:
1 Li 0.0000 0.0000 0.0000  6 Te 3.04-3.05
2 Li 0.0000 0.3330 0.0000  6 Te 3.04-3.05
3 Dy 0.0000 0.1666 0.5000  6 Te 3.09
4 Ho 0.0000 0.5000 0.5000  6 Te 3.08
5 Te 0.2474 0.5000 0.2451  3 Li 3.04-3.05, 1 Ho 3.08, 2 Dy 3.09
6 Te 0.2488 0.1662 0.2450  3 Li 3.04-3.05, 1 Ho 3.08, 2 Dy 3.09

As for the spin magnetization: 0.00 μB per formula unit. As for the formation energy without anion corrections: -1.29 eV per atom.

=====

[12]
Computed, not measured: a geometry-optimized LiDy3Ho2Te6 structure at the PBE level of DFT.

Unit cell a=18.8934 b=4.3279 c=8.6620 alpha=90.00 beta=103.34 gamma=90.00
Closest atoms and distances in Å follow each position.
Space group C2/m (No. 12)
Inequivalent atoms, fractional coordinates:
1 Li 0.0000 0.0000 0.0000  6 Te 2.98-3.01
2 Dy 0.0000 0.0000 0.5000  6 Te 3.04-3.12
3 Dy 0.1685 0.5000 0.8303  6 Te 3.04-3.12
4 Ho 0.1689 0.5000 0.3390  6 Te 3.03-3.10
5 Te 0.0007 0.5000 0.2411  2 Li 3.01, 1 Ho 3.10, 3 Dy 3.11-3.12
6 Te 0.1619 0.0000 0.0814  1 Li 2.98, 2 Ho 3.09, 3 Dy 3.09-3.12
7 Te 0.1656 0.0000 0.5826  3 Ho 3.03-3.04, 3 Dy 3.04

For the density of states at the Fermi level, the calculation gives 0.338 states/eV per atom. As for the spin magnetization: 0.00 μB per formula unit. As for the formation energy without anion corrections: -1.29 eV per atom.